A relaxed ScNi2Hg crystal, computed with PBE.

Output
M_tot in μB per atom: 0.00
Symmetry: R-3m, No. 166
Fermi-level density of states in states/eV per atom: 1.0383
E_tot in Ry/atom: -0.3299
Energy of formation in eV per atom: 0.06

Unit cell a=8.321 b=8.321 c=8.321 alpha=21.33 beta=21.33 gamma=21.33
Atoms (fractional coordinates):
Sc: 0.000 0.000 0.000
Ni: 0.254 0.254 0.254
Ni: 0.746 0.746 0.746
Hg: 0.500 0.500 0.500

A relaxed PmAlAg crystal, computed with PBE.

Output
M_tot in μB per atom: 0.00
Symmetry: Cmcm, No. 63
Energy above the most stable polymorph in this dataset in eV per atom: 0.326
Fermi-level density of states in states/eV per atom: 0.8680
E_tot in Ry/atom: -0.2824
Energy of formation in eV per atom: -0.06

Unit cell a=8.238 b=8.238 c=5.356 alpha=90.00 beta=90.00 gamma=157.40
Atoms (fractional coordinates):
Pm: 0.180 0.820 0.750
Pm: 0.820 0.180 0.250
Al: 0.000 0.000 0.000
Al: 0.000 0.000 0.500
Ag: 0.381 0.619 0.750
Ag: 0.619 0.381 0.250

A relaxed InCS2 crystal, computed with PBE.

Output
M_tot in μB per atom: 0.00
Symmetry: I-42d, No. 122
Energy relative to the elements, uncorrected in eV per formula unit: 3.11
Energy above the most stable polymorph in this dataset in eV per atom: 0.390
Fermi-level density of states in states/eV per atom: 0.6218
E_tot in Ry/atom: -0.3144

Unit cell a=5.959 b=5.959 c=5.959 alpha=116.28 beta=116.28 gamma=96.58
Atoms (fractional coordinates):
In: 0.000 0.000 0.000
In: 0.750 0.250 0.500
C: 0.250 0.750 0.500
C: 0.500 0.500 0.000
S: 0.278 0.125 0.653
S: 0.375 0.722 0.847
S: 0.472 0.625 0.347
S: 0.875 0.528 0.153

| no. | volume (Å³/cell) |
| --- | --- |
| 1 | 66.8 |
| 2 | 139.7 |
| 3 | 157.0 |